Density functional theory data (PBE) for CoTe2AsI after structural relaxation.

The space group is P4/mmm (No. 123) and the conventional cell measures 4.973, 4.973 and 5.202 Å, with angles of 90.00, 90.00 and 90.00 degrees. The asymmetric unit holds Co at (0.000, 0.000, 0.000), Te at (0.000, 0.500, 0.000), As at (0.500, 0.500, 0.500) and I at (0.000, 0.000, 0.500).

As for the energy above the most stable polymorph in this dataset: 0.0000 eV/atom.